Below is an optimized crystal structure of La2Tb7Pr3, with properties calculated at the GGA-PBE level.

Lattice parameters (Å, degrees): 5.933 3.629 19.156 90.00 93.08 90.00
Fractional positions:
La 0.210 0.000 0.293
La 0.790 0.000 0.707
Tb 0.190 0.500 0.142
Tb 0.243 0.000 0.462
Tb 0.309 0.000 0.830
Tb 0.500 0.500 0.000
Tb 0.691 0.000 0.170
Tb 0.757 0.000 0.538
Tb 0.810 0.500 0.858
Pr 0.000 0.000 0.000
Pr 0.278 0.500 0.631
Pr 0.722 0.500 0.369

offset from the most stable computed form	3	meV per atom
SG	No. 10
final energy	-4.631	eV/atom
ΔE_f	1.98	kcal/mol of atoms

---

Below is an optimized crystal structure of La8Tb4Pr3, with properties calculated at the GGA-PBE level.

Lattice parameters (Å, degrees): 9.391 9.391 6.990 110.80 110.80 83.26
Fractional positions:
La 0.201 0.201 0.171
La 0.204 0.796 0.000
La 0.254 0.746 0.500
La 0.257 0.257 0.687
La 0.743 0.743 0.313
La 0.746 0.254 0.500
La 0.796 0.204 0.000
La 0.799 0.799 0.829
Tb 0.000 0.500 0.500
Tb 0.500 0.000 0.500
Tb 0.500 0.500 0.000
Tb 0.500 0.500 0.500
Pr 0.000 0.000 0.500
Pr 0.000 0.500 0.000
Pr 0.500 0.000 0.000

SG	No. 12
final energy	-4.529	eV/atom
ΔE_f	6.67	kcal/mol of atoms

---

Below is an optimized crystal structure of La8Tb2Pr3, with properties calculated at the GGA-PBE level.

Lattice parameters (Å, degrees): 9.057 9.057 6.279 106.96 106.96 82.76
Fractional positions:
La 0.051 0.051 0.293
La 0.064 0.586 0.826
La 0.356 0.356 0.443
La 0.414 0.936 0.174
La 0.586 0.064 0.826
La 0.644 0.644 0.557
La 0.936 0.414 0.174
La 0.949 0.949 0.707
Tb 0.213 0.213 0.833
Tb 0.787 0.787 0.167
Pr 0.254 0.746 0.500
Pr 0.500 0.500 0.000
Pr 0.746 0.254 0.500

offset from the most stable computed form	0	meV per atom
SG	No. 12
final energy	-4.711	eV/atom
ΔE_f	3.15	kcal/mol of atoms

---

Below is an optimized crystal structure of La4Tb6Pr, with properties calculated at the GGA-PBE level.

Lattice parameters (Å, degrees): 9.719 9.719 9.719 138.73 138.73 59.79
Fractional positions:
La 0.014 0.631 0.000
La 0.369 0.369 0.383
La 0.631 0.014 0.000
La 0.986 0.986 0.617
Tb 0.000 0.500 0.500
Tb 0.210 0.210 0.653
Tb 0.443 0.790 0.000
Tb 0.500 0.000 0.500
Tb 0.557 0.557 0.347
Tb 0.790 0.443 0.000
Pr 0.000 0.000 0.000

offset from the most stable computed form	138	meV per atom
SG	No. 121
final energy	-4.457	eV/atom
ΔE_f	6.80	kcal/mol of atoms

---

Below is an optimized crystal structure of La5TbPr8, with properties calculated at the GGA-PBE level.

Lattice parameters (Å, degrees): 8.738 8.738 8.738 110.76 110.76 106.92
Fractional positions:
La 0.000 0.000 0.000
La 0.212 0.531 0.896
La 0.469 0.365 0.681
La 0.635 0.316 0.104
La 0.684 0.788 0.319
Tb 0.250 0.750 0.500
Pr 0.167 0.060 0.739
Pr 0.320 0.428 0.261
Pr 0.427 0.027 0.258
Pr 0.572 0.833 0.892
Pr 0.769 0.169 0.742
Pr 0.831 0.573 0.600
Pr 0.940 0.680 0.108
Pr 0.973 0.231 0.400

SG	No. 82
final energy	-4.608	eV/atom
ΔE_f	4.93	kcal/mol of atoms

---

Below is an optimized crystal structure of LaTbPr2, with properties calculated at the GGA-PBE level.

Lattice parameters (Å, degrees): 12.222 12.222 12.222 17.35 17.35 17.35
Fractional positions:
La 0.000 0.000 0.000
Tb 0.500 0.500 0.500
Pr 0.248 0.248 0.248
Pr 0.752 0.752 0.752

offset from the most stable computed form	2	meV per atom
SG	No. 166
final energy	-4.763	eV/atom
ΔE_f	0.38	kcal/mol of atoms